i:
The following is a PBE calculation of a relaxed Cd5Ag4Hg2 crystal, from the Alexandria database.

```
Cd5Ag4Hg2
1.0
5.664 0.000 0.000
2.832 6.687 -0.367
2.832 1.377 6.258
Cd Ag Hg
5 4 2
Cartesian
4.247 2.334 5.088
7.081 5.731 0.803
2.832 4.032 2.946
7.081 2.334 5.088
4.247 5.731 0.803
2.832 1.199 2.584
8.496 6.866 3.307
8.496 5.034 5.585
2.832 3.031 0.306
5.664 5.605 3.977
5.664 2.460 1.914
```

Volume in Å³ per atom: 21.810
Density in kg/m3: 9653

---

ii:
The following is a PBE calculation of a relaxed Cd5Ag4Hg2 crystal, from the Alexandria database.

```
Cd5Ag4Hg2
1.0
3.030 0.000 0.000
0.000 9.416 1.646
0.000 2.798 8.701
Cd Ag Hg
5 4 2
Cartesian
0.000 5.075 3.998
0.000 10.703 9.944
0.000 4.708 0.823
0.000 1.512 0.403
0.000 7.140 6.349
1.515 4.655 6.662
1.515 9.286 7.759
1.515 7.560 3.685
1.515 2.929 2.588
0.000 2.408 5.474
0.000 9.807 4.873
```

Volume in Å³ per atom: 21.298
Density in kg/m3: 9886

---

Which structure is most stable, and how do the rest compare? From most to least stable: ii, i.

---

i:
The following is a PBE calculation of a relaxed CdAgHg crystal, from the Alexandria database.

```
CdAgHg
1.0
-1.830 4.715 1.947
-3.678 1.616 -2.102
-3.316 -4.195 2.596
Cd Ag Hg
2 2 2
Cartesian
-3.166 1.648 1.930
-5.658 0.487 0.511
-4.850 -0.386 3.323
-3.975 2.522 -0.882
-4.352 -2.283 0.986
-4.472 4.419 1.454
```

Volume in Å³ per atom: 21.139
Density in kg/m3: 11020

---

ii:
The following is a PBE calculation of a relaxed CdAgHg crystal, from the Alexandria database.

```
CdAgHg
1.0
4.865 0.000 0.000
-2.432 4.213 0.000
0.000 0.000 3.076
Hg Ag Cd
1 1 1
Cartesian
2.432 1.404 2.127
0.000 0.000 2.925
0.000 2.809 1.099
```

Volume in Å³ per atom: 21.014
Density in kg/m3: 11086

---

Which structure is most stable, and how do the rest compare? From most to least stable: i, ii.